Compound: Hf2Nb2Ru
Source: Alexandria
Functional: PBE
Structure: optimized geometry

Cell lengths 6.610, 6.610, 4.582 Å; angles 90.00, 90.00, 90.00 degrees
Space group P4/mbm (No. 127)
Asymmetric unit:
Hf 0.164 0.336 0.000 x4
Nb 0.147 0.647 0.500 x4
Ru 0.000 0.000 0.500 x2

=====

Compound: HfNb2Ru2
Source: Alexandria
Functional: PBE
Structure: optimized geometry

Cell lengths 7.494, 7.494, 3.128 Å; angles 90.00, 90.00, 90.00 degrees
Space group P4/mbm (No. 127)
Asymmetric unit:
Hf 0.000 0.000 0.000 x2
Nb 0.167 0.333 0.500 x4
Ru 0.134 0.634 0.000 x4

=====

Compound: HfNb2Ru2
Source: Alexandria
Functional: PBE
Structure: optimized geometry

Cell lengths 7.685, 7.685, 2.964 Å; angles 90.00, 90.00, 90.00 degrees
Space group P4/mbm (No. 127)
Asymmetric unit:
Hf 0.000 0.000 0.000 x2
Nb 0.147 0.353 0.000 x4
Ru 0.151 0.651 0.500 x4

=====

Compound: HfNb2Ru
Source: Alexandria
Functional: PBE
Structure: optimized geometry

Cell lengths 6.540, 6.540, 6.540 Å; angles 90.00, 90.00, 90.00 degrees
Space group Fm-3m (No. 225)
Asymmetric unit:
Hf 0.000 0.000 0.000 x4
Nb 0.250 0.250 0.250 x8
Ru 0.000 0.000 0.500 x4

=====

Compound: HfTiNbRu
Source: Alexandria
Functional: PBE
Structure: optimized geometry

Cell lengths 6.487, 6.487, 6.487 Å; angles 90.00, 90.00, 90.00 degrees
Space group F-43m (No. 216)
Asymmetric unit:
Hf 0.000 0.000 0.000 x4
Ti 0.000 0.000 0.500 x4
Nb 0.250 0.250 0.250 x4
Ru 0.250 0.250 0.750 x4

=====

Compound: HfNb2TlRu
Source: Alexandria
Functional: PBE
Structure: optimized geometry

Cell lengths 4.987, 4.987, 4.726 Å; angles 90.00, 90.00, 90.00 degrees
Space group P4/mmm (No. 123)
Asymmetric unit:
Hf 0.000 0.000 0.000 x1
Nb 0.000 0.500 0.000 x2
Tl 0.500 0.500 0.500 x1
Ru 0.000 0.000 0.500 x1

=====

Number 1: magnetic moment 0.010 μB/f.u., E_form 41 kJ/mol of formula units. Number 2: magnetic moment 0.000 μB/f.u., E_form -66 kJ/mol of formula units. Number 3: magnetic moment 0.000 μB/f.u., E_form -29 kJ/mol of formula units. Number 4: magnetic moment 0.000 μB/f.u., E_form -36 kJ/mol of formula units. Number 5: magnetic moment 0.003 μB/f.u., E_form -89 kJ/mol of formula units. Number 6: magnetic moment 0.000 μB/f.u., E_form 681 kJ/mol of formula units.